# 1
Tb2Nd3Ho | PBE | relaxed

a = 10.873 Å, b = 6.270 Å, c = 11.624 Å
α = 90.00°, β = 90.00°, γ = 90.00°
Space group Cmc2_1 (No. 36)
Symmetry-distinct sites (fractional):
Tb 0.167 0.166 0.000 [8 per cell]
Nd 0.000 0.001 0.750 [4 per cell]
Nd 0.166 0.499 0.250 [8 per cell]
Ho 0.000 0.334 0.500 [4 per cell]

Raw total energy = -4.69 eV/atom
DFT formation energy = -0.005 eV/atom
Size of the total moment = 0.17 μB/cell


# 2
KTmO3 | PBE | relaxed

a = 6.1599 Å, b = 6.1599 Å, c = 15.0171 Å
α = 90.00°, β = 90.00°, γ = 120.00°
Space group R-3c (No. 167, hexagonal axes)
Symmetry-distinct sites (fractional):
K 0.0000 0.0000 0.2500 [6 per cell]
Tm 0.0000 0.0000 0.0000 [6 per cell]
O 0.0000 0.4687 0.2500 [18 per cell]

Raw total energy = -6.02 eV/atom
Size of the total moment = 12.00 μB/cell


> Which of these has the highest raw total energy?

Tb2Nd3Ho